GGA+U KMnNb2O8, optimized geometry; crystal system = trigonal; E = -7.6116 eV per atom
1.0
5.376 0.000 0.000
-2.688 4.656 0.000
0.000 0.000 7.167
K Mn Nb O
1 1 2 8
Cartesian
0.000 0.000 0.000
0.000 0.000 3.584
0.000 3.104 2.865
2.688 1.552 4.302
-0.657 1.587 4.469
-0.986 4.432 4.469
0.000 3.104 1.055
1.045 1.363 2.698
1.643 3.294 4.469
2.688 1.552 6.112
3.674 0.224 2.698
3.346 3.070 2.698